[1]
An optimized crystal structure of Tl2AuBr, computed with GGA-PBE.

```
Tl2AuBr
1.0
-0.485 3.867 3.935
-3.812 -3.092 2.564
2.724 -1.692 1.980
Tl Br Au
2 1 1
Cartesian
-2.149 0.387 3.249 Tl
0.000 0.000 0.000 Tl
-0.544 -2.392 2.272 Br
1.120 1.087 2.957 Au
```

Properties
Density of states at the Fermi level = 0.1221 states/eV/atom
Raw formation energy = -0.304 eV/atom
Energy above the most stable polymorph in this dataset = 47.6 meV per atom

=====

[2]
An optimized crystal structure of Tl12Au3Br5, computed with GGA-PBE.

```
Tl12Au3Br5
1.0
-12.549 -8.642 -4.586
13.293 -6.337 -6.027
0.881 0.056 15.887
Tl Br Au
48 20 12
Cartesian
1.307 -5.940 -2.626 Tl
-7.452 -7.231 -3.071 Tl
1.676 -12.828 -5.059 Tl
-2.672 -4.210 6.328 Tl
11.210 -6.192 -3.557 Tl
3.560 -7.946 -5.011 Tl
-4.038 -11.585 -4.966 Tl
6.300 -7.657 0.148 Tl
11.449 -6.844 -0.310 Tl
5.483 -8.480 7.223 Tl
-6.553 -10.343 -2.338 Tl
-3.511 -9.271 -0.243 Tl
8.417 -9.019 4.795 Tl
-9.824 -8.080 5.584 Tl
-0.474 -1.804 13.614 Tl
8.667 -5.805 3.999 Tl
-1.183 -5.030 1.886 Tl
2.694 -4.696 9.638 Tl
1.119 -1.980 2.300 Tl
-1.935 -6.977 10.285 Tl
5.979 -6.305 -3.436 Tl
2.099 -13.120 -8.340 Tl
5.664 -3.339 10.240 Tl
2.809 -9.894 3.388 Tl
3.818 -6.453 1.996 Tl
0.507 -12.944 2.974 Tl
-1.989 -11.286 7.265 Tl
1.704 -8.849 -0.145 Tl
-4.674 -7.267 5.126 Tl
3.614 -3.638 -1.991 Tl
-4.354 -8.619 8.710 Tl
9.077 -7.693 8.345 Tl
-0.218 -13.338 -0.242 Tl
-3.858 -6.444 -1.949 Tl
1.843 -1.586 5.516 Tl
-6.792 -5.905 0.479 Tl
-0.079 -6.075 5.419 Tl
8.179 -4.581 7.612 Tl
5.887 -10.712 2.449 Tl
-9.584 -8.732 8.831 Tl
0.319 -8.984 7.900 Tl
-7.041 -9.119 1.276 Tl
4.297 -10.714 -1.054 Tl
-0.051 -2.096 10.333 Tl
-2.193 -8.471 3.278 Tl
5.136 -5.653 5.517 Tl
-4.261 -4.212 2.825 Tl
-1.068 -10.228 -4.364 Tl
4.009 -10.933 -4.168 Br
-1.272 -4.818 -1.241 Br
6.646 -3.169 -3.014 Br
-6.274 -4.321 -2.293 Br
8.731 -5.812 0.864 Br
-7.106 -9.112 4.410 Br
0.441 0.028 7.944 Br
2.898 -10.106 6.515 Br
2.398 -4.502 6.523 Br
-2.011 -11.481 4.136 Br
8.604 -7.699 -4.434 Br
0.813 -7.462 2.637 Br
-5.834 -4.293 5.651 Br
7.087 -3.141 4.930 Br
-6.979 -7.225 9.709 Br
0.000 0.000 0.000 Br
-0.773 -10.422 -1.249 Br
3.636 -3.443 1.138 Br
0.372 -7.490 -5.307 Br
-2.383 -3.991 9.442 Br
2.770 -11.992 1.216 Au
-4.317 -8.851 -3.714 Au
5.942 -6.073 8.988 Au
10.723 -6.584 6.068 Au
-4.189 -6.965 1.585 Au
-1.145 -2.932 4.058 Au
3.822 -7.188 -1.515 Au
5.815 -7.959 3.689 Au
2.526 -2.616 11.821 Au
-9.098 -8.340 -0.794 Au
-2.197 -7.736 6.789 Au
-0.900 -12.308 -6.547 Au
```

Properties
Density of states at the Fermi level = 0.6949 states/eV/atom
Raw formation energy = -0.208 eV/atom

=====

Number 1: total moment 0.00 μB per formula unit. Number 2: total moment 0.00 μB per formula unit.